# 1
Below is SrYOsPt2 after structural relaxation, with properties calculated at the PBEsol level.

Values from the calculation:
D(E_F) = 5.0 states/eV per cell
total DFT energy (no corrections) = -0.350 Ry/atom
energy of formation = 2.195 eV/atom

Unit cell a=4.8698 b=4.8698 c=5.0879 alpha=90.00 beta=90.00 gamma=90.00
Closest atoms and distances in Å follow each position.
Fractional positions:
Sr 0.0000 0.0000 0.0000  4 Pt 2.43, 2 Y 2.54
Y 0.0000 0.0000 0.5000  2 Sr 2.54
Os 0.5000 0.5000 0.5000  4 Y 3.44, 8 Pt 3.52
Pt 0.0000 0.5000 0.0000  2 Sr 2.43
Pt 0.5000 0.0000 0.0000  2 Sr 2.43



# 2
Below is TaOsPt2 after structural relaxation, with properties calculated at the PBEsol level.

Values from the calculation:
D(E_F) = 2.3 states/eV per cell
total DFT energy (no corrections) = -0.748 Ry/atom
energy of formation = -0.509 eV/atom

Unit cell a=3.8578 b=3.8578 c=4.0385 alpha=90.00 beta=90.00 gamma=90.00
Closest atoms and distances in Å follow each position.
Fractional positions:
Ta 0.0000 0.0000 0.0000  4 Os 2.73, 8 Pt 2.79
Os 0.5000 0.5000 0.0000  4 Ta 2.73, 8 Pt 2.79
Pt 0.0000 0.5000 0.5000  4 Pt 2.73, 4 Ta 2.79, 4 Os 2.79
Pt 0.5000 0.0000 0.5000  4 Pt 2.73, 4 Ta 2.79, 4 Os 2.79



# 3
Below is TaOsPt2 after structural relaxation, with properties calculated at the PBEsol level.

Values from the calculation:
D(E_F) = 3.0 states/eV per cell
total DFT energy (no corrections) = -0.718 Ry/atom
energy of formation = -0.089 eV/atom

Unit cell a=9.2583 b=9.2583 c=9.2583 alpha=17.23 beta=17.23 gamma=17.23
Closest atoms and distances in Å follow each position.
Fractional positions:
Ta 0.0000 0.0000 0.0000  6 Ta 2.77, 6 Pt 2.81
Os 0.5000 0.5000 0.5000  6 Pt 2.76, 6 Os 2.77
Pt 0.2487 0.2487 0.2487  3 Os 2.76, 6 Pt 2.77, 3 Ta 2.81
Pt 0.7513 0.7513 0.7513  3 Os 2.76, 6 Pt 2.77, 3 Ta 2.81